DFT (PBE) results for YTl3Sb2Se6 after structural relaxation.

Cell: 7.3123 7.3123 8.0295 Å, 98.73 98.73 120.00°
Element x y z (fractional)
1 Y 0.0000 0.0000 0.0000
2 Tl 0.1657 0.8343 0.5000
3 Tl 0.5000 0.5000 0.5000
4 Tl 0.8343 0.1657 0.5000
5 Sb 0.3335 0.6665 0.0000
6 Sb 0.6665 0.3335 0.0000
7 Se 0.0694 0.4014 0.2077
8 Se 0.2637 0.2637 0.7941
9 Se 0.4014 0.0694 0.2077
10 Se 0.5986 0.9306 0.7923
11 Se 0.7363 0.7363 0.2059
12 Se 0.9306 0.5986 0.7923

SG	No. 12
uncorrected formation energy	-0.70	eV per atom
magnetic moment	0.000	μB per formula unit
E	-4.26	eV per atom